Ca2Be2P3: relaxed, PBE.

Properties
symmetry: C2/m, No. 12
N(E_F): 0.07 states/eV per atom
theoretical density: 2.552 g cm⁻³
energy of formation from the pure elements: -0.8093 eV/atom

Cell: 3.8398 7.6669 9.0023 Å, 80.05 77.69 75.50°
Last column: nearest neighbours and their distance in Å.
Atoms (fractional coordinates):
P1 0.8560 0.5059 0.7822  3 Be 2.21-2.28
P2 0.3987 0.7506 0.4519  4 Be 2.24-2.27
P3 0.6013 0.2494 0.5481  4 Be 2.24-2.27
P4 0.1440 0.4941 0.2178  3 Be 2.21-2.28
P5 0.0700 0.9865 0.8736  1 P 2.26, 1 Be 2.38
P6 0.9300 0.0135 0.1264  1 P 2.26, 1 Be 2.38
Ca1 0.6109 0.7305 0.0478  7 P 2.89-3.04, 3 Be 3.05-3.10
Ca2 0.2667 0.1279 0.3387  6 P 2.79-2.88
Ca3 0.3891 0.2695 0.9522  7 P 2.89-3.04, 3 Be 3.05-3.10
Ca4 0.7333 0.8721 0.6613  6 P 2.79-2.88
Be1 0.0343 0.2459 0.6854  4 P 2.21-2.38
Be2 0.9657 0.7541 0.3146  4 P 2.21-2.38
Be3 0.5808 0.4805 0.3579  4 P 2.24-2.28
Be4 0.4192 0.5195 0.6421  4 P 2.24-2.28

---

SiBiSeBr2: relaxed, PBE.

Properties
symmetry: P4/mmm, No. 123
formation energy (no corrections): 0.438 eV/atom
N(E_F): 0.64 states/eV per atom
theoretical density: 4.359 g cm⁻³
E above lowest polymorph: 348 meV per atom

Cell: 5.6356 5.6356 5.7070 Å, 90.00 90.00 90.00°
Last column: nearest neighbours and their distance in Å.
Atoms (fractional coordinates):
Se1 0.0000 0.0000 0.5000  2 Bi 2.85
Si1 0.5000 0.5000 0.5000  4 Se 3.98, 8 Br 4.01
Br1 0.5000 0.0000 0.0000  2 Bi 2.82
Br2 0.0000 0.5000 0.0000  2 Bi 2.82
Bi1 0.0000 0.0000 0.0000  4 Br 2.82, 2 Se 2.85

---

BaTl2Cl: relaxed, PBE.

Properties
symmetry: Pmmm, No. 47
formation energy (no corrections): -0.674 eV/atom
N(E_F): 0.48 states/eV per atom
theoretical density: 6.275 g cm⁻³
E above lowest polymorph: 195 meV per atom

Cell: 4.1173 6.1741 6.0539 Å, 90.00 90.00 90.00°
Last column: nearest neighbours and their distance in Å.
Atoms (fractional coordinates):
Tl1 0.0000 0.0000 0.0038  2 Tl 2.98-3.07
Tl2 0.0000 0.0000 0.4962  2 Tl 2.98-3.07
Ba1 0.5000 0.5000 0.2500  2 Cl 3.03
Cl1 0.5000 0.5000 0.7500  2 Ba 3.03

---

RbMgH4: relaxed, PBE.

Properties
symmetry: C2/m, No. 12
theoretical density: 1.810 g cm⁻³

Cell: 5.8696 5.8149 7.9131 Å, 111.56 121.11 90.00°
Last column: nearest neighbours and their distance in Å.
Atoms (fractional coordinates):
Mg1 0.2819 0.5958 0.1916  3 H 1.85-1.94
Mg2 0.7181 0.4042 0.8084  3 H 1.85-1.94
Rb1 0.0497 0.8557 0.7115  7 H 2.82-3.13
Rb2 0.9503 0.1443 0.2885  7 H 2.82-3.13
H1 0.4989 0.3638 0.0602  1 H 0.89
H2 0.0000 0.7190 0.0000  2 Mg 1.94
H3 0.0000 0.2810 0.0000  2 Mg 1.94
H4 0.2834 0.7216 0.4431  1 Mg 1.85
H5 0.7166 0.2784 0.5569  1 Mg 1.85
H6 0.5011 0.3036 0.9398  1 H 0.89
H7 0.4989 0.6964 0.0602  1 H 0.89
H8 0.5011 0.6362 0.9398  1 H 0.89

---

no.,total energy (Ry per atom)
1,-0.350
2,-0.205
3,-0.206
4,-0.196